{"formula": "LaCo2SbO6", "functional": "GGA+U", "state": "optimized geometry", "density_g_cm3": 6.58, "sg": "R3", "energy_ev_per_cell": -65.62, "vol_a3_per_fu": 119.7, "lattice_angstrom": [[-2.956, 4.454, -0.977], [-4.961, 0.497, 2.162], [-0.787, 3.707, 4.171]], "species": ["La", "Co", "Co", "Sb", "O", "O", "O", "O", "O", "O"], "frac_coords": [[0.783, 0.783, 0.652], [0.526, 0.526, 0.423], [0.009, 0.009, 0.974], [0.311, 0.311, 0.066], [0.660, 0.245, 0.210], [0.245, 0.885, 0.210], [0.885, 0.660, 0.210], [0.329, 0.733, 0.756], [0.733, 0.181, 0.756], [0.181, 0.329, 0.756]]}